[1]
A plane-wave DFT calculation with PBE was carried out for a relaxed structure of NpAg2PbCl8.

Results
raw formation energy: -1.11 eV per atom

abc: 6.7231 6.8185 8.5831
angles: 101.95 90.89 99.07
With the nearest neighbours (Å) after each atom.
Space group P-1 (No. 2)
Unique sites:
1 Np 0.0000 0.0000 0.0000  6 Cl 2.60-2.67
2 Ag 0.4911 0.6392 0.7036  4 Cl 2.52-2.79
3 Pb 0.0000 0.0000 0.5000  6 Cl 2.86-2.99
4 Cl 0.1175 0.7691 0.7380  1 Np 2.67, 1 Ag 2.79, 1 Pb 2.99
5 Cl 0.1373 0.7962 0.1931  1 Np 2.62
6 Cl 0.3440 0.2424 0.0203  1 Ag 2.52, 1 Np 2.60
7 Cl 0.3825 0.2599 0.5563  2 Ag 2.58-2.62, 1 Pb 2.86

***

[2]
A plane-wave DFT calculation with PBE was carried out for a relaxed structure of KAgHg2Au.

Results
E above lowest polymorph: 0.000 eV per atom
energy relative to the elements: -0.365 eV/f.u.

abc: 5.4188 5.4188 5.4267
angles: 90.00 90.00 90.00
With the nearest neighbours (Å) after each atom.
Space group P4/mmm (No. 123)
Unique sites:
1 K 0.0000 0.0000 0.0000  4 Ag 3.83, 8 Hg 3.83
2 Ag 0.5000 0.5000 0.0000  2 Au 2.71
3 Hg 0.0000 0.5000 0.5000  2 Au 2.71
4 Au 0.5000 0.5000 0.5000  4 Hg 2.71, 2 Ag 2.71

***

[3]
A plane-wave DFT calculation with PBE was carried out for a relaxed structure of Sm6Ho2TmTh.

Results
energy relative to the elements: 1.477 eV/f.u.

abc: 9.3266 14.9792 9.5496
angles: 90.00 96.56 90.00
With the nearest neighbours (Å) after each atom.
Space group C2/c (No. 15)
Unique sites:
1 Sm 0.0614 0.1754 0.4419  7 Sm 3.46-3.76, 2 Ho 3.49-3.86, 2 Th 3.60-3.75
2 Sm 0.0945 0.3887 0.6162  4 Sm 3.26-3.60, 3 Ho 3.29-3.47, 2 Tm 3.42-3.52
3 Sm 0.2105 0.2185 0.8121  1 Sm 3.27, 1 Tm 3.43, 1 Ho 3.43, 1 Th 3.44
4 Ho 0.2505 0.0473 0.0519  5 Sm 3.29-3.49, 2 Th 3.38-3.51, 1 Tm 3.49
5 Tm 0.0000 0.4104 0.2500  6 Sm 3.42-3.52, 2 Ho 3.49
6 Th 0.0000 0.0307 0.7500  4 Ho 3.38-3.51, 6 Sm 3.44-3.75

***

[4]
A plane-wave DFT calculation with PBE was carried out for a relaxed structure of LaOs2W.

Results
E above lowest polymorph: 0.526 eV per atom
energy relative to the elements: 2.654 eV/f.u.

abc: 3.0808 5.1642 9.4723
angles: 90.00 90.00 90.00
With the nearest neighbours (Å) after each atom.
Space group Immm (No. 71)
Unique sites:
1 La 0.0000 0.0000 0.0000  4 W 3.01, 8 Os 3.07-3.31, 2 La 3.08
2 Os 0.0000 0.5000 0.2191  2 W 2.58
3 W 0.0000 0.0000 0.5000  4 Os 2.58

***

Copy entry 2 word for word.
A plane-wave DFT calculation with PBE was carried out for a relaxed structure of KAgHg2Au.

Results
E above lowest polymorph: 0.000 eV per atom
energy relative to the elements: -0.365 eV/f.u.

abc: 5.4188 5.4188 5.4267
angles: 90.00 90.00 90.00
With the nearest neighbours (Å) after each atom.
Space group P4/mmm (No. 123)
Unique sites:
1 K 0.0000 0.0000 0.0000  4 Ag 3.83, 8 Hg 3.83
2 Ag 0.5000 0.5000 0.0000  2 Au 2.71
3 Hg 0.0000 0.5000 0.5000  2 Au 2.71
4 Au 0.5000 0.5000 0.5000  4 Hg 2.71, 2 Ag 2.71